# 1
A plane-wave DFT calculation with PBE was carried out for LaCoIr2Pt after structural relaxation.

```
5
Lattice="4.877 0.000 0.000 0.000 4.877 0.000 0.000 0.000 4.461" Properties=species:S:1:pos:R:3 pbc="T T T"
La 0.000 0.000 0.000
Co 0.000 0.000 2.230
Ir 0.000 2.438 0.000
Ir 2.438 0.000 0.000
Pt 2.438 2.438 2.230
```


# 2
A plane-wave DFT calculation with PBE was carried out for La6CoIrRh2 after structural relaxation.

```
10
Lattice="7.161 0.000 0.000 3.580 6.213 0.000 3.580 2.075 6.553" Properties=species:S:1:pos:R:3 pbc="T T T"
La 0.000 0.000 0.000
La 5.891 6.272 3.248
La 7.154 4.265 6.551
La 5.934 2.163 3.251
La 7.053 4.201 0.002
La 9.516 4.179 3.249
Co 4.730 4.203 1.728
Ir 8.313 2.132 4.950
Rh 4.729 4.206 4.875
Rh 8.313 6.275 1.562
```


# 3
A plane-wave DFT calculation with PBE was carried out for La8CoIrRh2 after structural relaxation.

```
12
Lattice="6.728 0.000 0.000 0.000 8.500 0.000 -0.029 0.000 6.810" Properties=species:S:1:pos:R:3 pbc="T T T"
La 1.471 2.055 1.134
La 1.471 6.445 1.134
La 1.806 0.000 4.596
La 1.825 4.250 4.555
La 4.873 4.250 2.256
La 4.893 0.000 2.214
La 5.228 2.055 5.677
La 5.228 6.445 5.677
Co 0.000 0.000 0.000
Ir 0.000 4.250 0.000
Rh 3.349 2.108 3.405
Rh 3.349 6.392 3.405
```


# 4
A plane-wave DFT calculation with PBE was carried out for LaCoSi2Ir after structural relaxation.

Properties
* energy relative to the elements, uncorrected: -0.890 eV per atom

```
5
Lattice="-2.030 2.030 5.168 2.030 -2.030 5.168 2.030 2.030 -5.168" Properties=species:S:1:pos:R:3 pbc="T T T"
La 0.000 0.000 0.000
Co 0.000 2.030 2.584
Si 0.000 0.000 3.816
Si 0.000 0.000 6.520
Ir 2.030 0.000 2.584
```


# 5
A plane-wave DFT calculation with PBE was carried out for La2CoSi4Ir3 after structural relaxation.

Properties
* energy relative to the elements, uncorrected: -0.932 eV per atom

```
10
Lattice="4.194 0.000 0.000 0.000 4.194 0.000 0.000 0.000 9.950" Properties=species:S:1:pos:R:3 pbc="T T T"
La 0.000 2.097 2.463
La 2.097 0.000 7.487
Co 0.000 0.000 4.975
Si 0.000 0.000 0.000
Si 0.000 2.097 6.204
Si 2.097 0.000 3.746
Si 2.097 2.097 0.000
Ir 0.000 2.097 8.684
Ir 2.097 0.000 1.267
Ir 2.097 2.097 4.975
```


# 6
A plane-wave DFT calculation with PBE was carried out for LaSmCoIr after structural relaxation.

```
4
Lattice="0.000 3.520 3.520 3.520 0.000 3.520 3.520 3.520 0.000" Properties=species:S:1:pos:R:3 pbc="T T T"
La 0.000 0.000 0.000
Sm 3.520 3.520 3.520
Co 5.281 5.281 5.281
Ir 1.760 1.760 1.760
```


# 7
A plane-wave DFT calculation with PBE was carried out for LaTbCoIr after structural relaxation.

```
4
Lattice="0.000 3.490 3.490 3.490 0.000 3.490 3.490 3.490 0.000" Properties=species:S:1:pos:R:3 pbc="T T T"
La 0.000 0.000 0.000
Tb 3.490 3.490 3.490
Co 1.745 1.745 1.745
Ir 5.235 5.235 5.235
```


# 8
A plane-wave DFT calculation with PBE was carried out for LaCoTeIr2 after structural relaxation.

Properties
* energy relative to the elements, uncorrected: 1.595 eV per atom

```
5
Lattice="5.061 0.000 0.000 0.000 5.061 0.000 0.000 0.000 4.588" Properties=species:S:1:pos:R:3 pbc="T T T"
La 0.000 0.000 0.000
Co 0.000 0.000 2.294
Te 2.530 2.530 2.294
Ir 0.000 2.530 0.000
Ir 2.530 0.000 0.000
```


# 9
A plane-wave DFT calculation with PBE was carried out for LaTi2CoIr after structural relaxation.

```
5
Lattice="4.759 0.000 0.000 0.000 4.759 0.000 0.000 0.000 4.842" Properties=species:S:1:pos:R:3 pbc="T T T"
La 0.000 0.000 0.000
Ti 0.000 2.380 2.421
Ti 2.380 0.000 2.421
Co 2.380 2.380 0.000
Ir 2.380 2.380 2.421
```


# 10
A plane-wave DFT calculation with PBE was carried out for LaTiCo2Ir after structural relaxation.

```
5
Lattice="4.681 0.000 0.000 0.000 4.681 0.000 0.000 0.000 5.238" Properties=species:S:1:pos:R:3 pbc="T T T"
La 0.000 0.000 0.000
Ti 2.340 2.340 0.000
Co 0.000 2.340 2.619
Co 2.340 0.000 2.619
Ir 0.000 0.000 2.619
```


# 11
A plane-wave DFT calculation with PBE was carried out for La6Tl2CoIr after structural relaxation.

```
20
Lattice="7.665 0.000 0.000 0.000 11.186 0.000 0.000 0.000 7.663" Properties=species:S:1:pos:R:3 pbc="T T T"
La 0.064 2.796 0.081
La 0.075 2.796 3.776
La 1.916 5.608 1.909
La 1.916 11.170 1.909
La 3.758 2.796 3.776
La 3.768 2.796 0.081
La 3.897 8.389 7.582
La 3.908 8.389 3.887
La 5.749 0.016 5.753
La 5.749 5.577 5.753
La 7.590 8.389 3.887
La 7.601 8.389 7.582
Tl 1.916 0.004 5.744
Tl 1.916 5.589 5.744
Tl 5.749 11.182 1.919
Tl 5.749 5.597 1.919
Co 1.916 2.796 1.915
Co 5.749 8.389 5.748
Ir 1.916 8.389 1.910
Ir 5.749 2.796 5.753
```


# 12
A plane-wave DFT calculation with PBE was carried out for LaTmCoIr after structural relaxation.

```
4
Lattice="0.000 3.459 3.459 3.459 0.000 3.459 3.459 3.459 0.000" Properties=species:S:1:pos:R:3 pbc="T T T"
La 0.000 0.000 0.000
Tm 3.459 3.459 3.459
Co 5.188 5.188 5.188
Ir 1.729 1.729 1.729
```


# 13
A plane-wave DFT calculation with PBE was carried out for LaYCoIr after structural relaxation.

```
4
Lattice="0.000 3.488 3.488 3.488 0.000 3.488 3.488 3.488 0.000" Properties=species:S:1:pos:R:3 pbc="T T T"
La 0.000 0.000 0.000
Y 3.488 3.488 3.488
Co 5.232 5.232 5.232
Ir 1.744 1.744 1.744
```


# 14
A plane-wave DFT calculation with PBE was carried out for Li4CoIr after structural relaxation.

```
6
Lattice="0.000 3.288 3.288 3.288 0.000 3.288 3.288 3.288 0.000" Properties=species:S:1:pos:R:3 pbc="T T T"
Li 2.472 2.472 2.472
Li 4.105 4.105 2.472
Li 4.105 2.472 4.105
Li 2.472 4.105 4.105
Co 0.000 0.000 0.000
Ir 4.933 4.933 4.933
```


# 15
A plane-wave DFT calculation with PBE was carried out for LiCoIr3 after structural relaxation.

```
5
Lattice="4.060 0.000 0.000 0.000 4.060 0.000 0.000 0.000 4.060" Properties=species:S:1:pos:R:3 pbc="T T T"
Li 0.000 0.000 0.000
Co 2.030 2.030 2.030
Ir 0.000 0.000 2.030
Ir 0.000 2.030 0.000
Ir 2.030 0.000 0.000
```


# 16
A plane-wave DFT calculation with PBE was carried out for Li2CoIr2 after structural relaxation.

```
10
Lattice="5.494 0.000 0.000 0.000 5.494 0.000 0.000 0.000 3.844" Properties=species:S:1:pos:R:3 pbc="T T T"
Li 0.680 2.067 0.000
Li 2.067 4.814 0.000
Li 3.427 0.680 0.000
Li 4.814 3.427 0.000
Co 0.000 0.000 0.000
Co 2.747 2.747 0.000
Ir 1.004 3.751 1.922
Ir 1.743 1.004 1.922
Ir 3.751 4.491 1.922
Ir 4.491 1.743 1.922
```


# 17
A plane-wave DFT calculation with PBE was carried out for LiCo3Ir after structural relaxation.

```
5
Lattice="3.883 0.000 0.000 0.000 3.883 0.000 0.000 0.000 3.883" Properties=species:S:1:pos:R:3 pbc="T T T"
Li 0.000 0.000 0.000
Co 0.000 0.000 1.942
Co 0.000 1.942 0.000
Co 1.942 0.000 0.000
Ir 1.942 1.942 1.942
```


# 18
A plane-wave DFT calculation with PBE was carried out for LiCoIr4 after structural relaxation.

```
6
Lattice="0.000 3.635 3.635 3.635 0.000 3.635 3.635 3.635 0.000" Properties=species:S:1:pos:R:3 pbc="T T T"
Li 0.000 0.000 0.000
Co 5.453 5.453 5.453
Ir 2.727 2.727 2.727
Ir 4.544 4.544 2.727
Ir 4.544 2.727 4.544
Ir 2.727 4.544 4.544
```


# 19
A plane-wave DFT calculation with PBE was carried out for LiMg2CoIr after structural relaxation.

```
5
Lattice="4.366 0.000 0.000 0.000 4.366 0.000 0.000 0.000 3.875" Properties=species:S:1:pos:R:3 pbc="T T T"
Li 0.000 0.000 0.000
Mg 0.000 2.183 0.000
Mg 2.183 0.000 0.000
Co 0.000 0.000 1.937
Ir 2.183 2.183 1.937
```


# 20
A plane-wave DFT calculation with PBE was carried out for LiMg2CoIr after structural relaxation.

```
5
Lattice="4.960 0.000 0.000 0.000 4.960 0.000 0.000 0.000 4.706" Properties=species:S:1:pos:R:3 pbc="T T T"
Li 0.000 0.000 0.000
Mg 0.000 2.480 2.353
Mg 2.480 0.000 2.353
Co 2.480 2.480 0.000
Ir 2.480 2.480 2.353
```


# 21
A plane-wave DFT calculation with PBE was carried out for Li2CoMoIr after structural relaxation.

```
5
Lattice="4.351 0.000 0.000 0.000 4.351 0.000 0.000 0.000 4.215" Properties=species:S:1:pos:R:3 pbc="T T T"
Li 0.000 2.176 0.000
Li 2.176 0.000 0.000
Co 0.000 0.000 2.107
Mo 0.000 0.000 0.000
Ir 2.176 2.176 2.107
```


# 22
A plane-wave DFT calculation with PBE was carried out for LiCo2IrN after structural relaxation.

Properties
* energy relative to the elements, uncorrected: 0.056 eV per atom

```
5
Lattice="3.762 0.000 0.000 0.000 3.762 0.000 0.000 0.000 3.986" Properties=species:S:1:pos:R:3 pbc="T T T"
Li 0.000 0.000 0.000
Co 0.000 1.881 1.993
Co 1.881 0.000 1.993
Ir 1.881 1.881 0.000
N 1.881 1.881 1.993
```


Number 1: density 12.17 g cm⁻³, calculated total energy -26.1 eV/f.u., magnetic moment 1.2 μB per cell. Number 2: density 7.35 g cm⁻³, calculated total energy -65.4 eV/f.u., magnetic moment 0.0 μB per cell. Number 3: density 6.69 g cm⁻³, calculated total energy -75.6 eV/f.u., magnetic moment 0.0 μB per cell. Number 4: density 8.70 g cm⁻³, calculated total energy -36.2 eV/f.u., magnetic moment 0.0 μB per cell. Number 5: density 9.73 g cm⁻³, calculated total energy -74.6 eV/f.u., magnetic moment 0.0 μB per cell. Number 6: density 10.28 g cm⁻³, calculated total energy -26.9 eV/f.u., magnetic moment 0.6 μB per cell. Number 7: density 10.72 g cm⁻³, calculated total energy -27.0 eV/f.u., magnetic moment 0.6 μB per cell. Number 8: density 10.03 g cm⁻³, calculated total energy -24.9 eV/f.u., magnetic moment 1.3 μB per cell. Number 9: density 7.36 g cm⁻³, calculated total energy -35.8 eV/f.u., magnetic moment 3.0 μB per cell. Number 10: density 7.19 g cm⁻³, calculated total energy -31.2 eV/f.u., magnetic moment 3.7 μB per cell. Number 11: density 7.55 g cm⁻³, calculated total energy -53.6 eV/f.u., magnetic moment 0.0 μB per cell. Number 12: density 11.22 g cm⁻³, calculated total energy -27.0 eV/f.u., magnetic moment 0.6 μB per cell. Number 13: density 9.37 g cm⁻³, calculated total energy -28.8 eV/f.u., magnetic moment 0.6 μB per cell. Number 14: density 6.51 g cm⁻³, calculated total energy -22.3 eV/f.u., magnetic moment 1.7 μB per cell. Number 15: density 15.94 g cm⁻³, calculated total energy -30.1 eV/f.u., magnetic moment 0.0 μB per cell. Number 16: density 13.09 g cm⁻³, calculated total energy -27.5 eV/f.u., magnetic moment 4.1 μB per cell. Number 17: density 10.66 g cm⁻³, calculated total energy -27.9 eV/f.u., magnetic moment 5.8 μB per cell. Number 18: density 14.43 g cm⁻³, calculated total energy -42.0 eV/f.u., magnetic moment 4.9 μB per cell. Number 19: density 6.89 g cm⁻³, calculated total energy -17.6 eV/f.u., magnetic moment 0.9 μB per cell. Number 20: density 4.40 g cm⁻³, calculated total energy -19.3 eV/f.u., magnetic moment 2.3 μB per cell. Number 21: density 7.51 g cm⁻³, calculated total energy -22.3 eV/f.u., magnetic moment 2.5 μB per cell. Number 22: density 9.74 g cm⁻³, calculated total energy -33.0 eV/f.u., magnetic moment 1.9 μB per cell.